VASP calculation (GGA-PBE) on an optimized crystal structure of DyPuAlSn.

Results
- space group = F-43m, No. 216
- calculated density (g/cm3) = 9.14
- final energy (eV/atom) = -6.982
- energy of formation (eV/atom) = -0.312
- total magnetic moment (μB/cell) = 5.85

Cell: 5.216 5.216 5.216 Å, 60.00 60.00 60.00°
Element x y z (fractional)
1 Dy 0.000 0.000 0.000
2 Pu 0.500 0.500 0.500
3 Al 0.250 0.250 0.250
4 Sn 0.750 0.750 0.750